<one>
# YTa2Re2 PBE relaxed
# crystal system: tetragonal
data_YTa2Re2
_chemical_formula_sum 'Y2 Ta4 Re4'
_symmetry_space_group_name_H-M 'P 4/m b m'
_symmetry_Int_Tables_number 127
_symmetry_space_group_name_Hall '-P 4 2ab'
_cell_length_a 7.890
_cell_length_b 7.890
_cell_length_c 3.070
_cell_angle_alpha 90.00
_cell_angle_beta 90.00
_cell_angle_gamma 90.00
loop_
_atom_site_label
_atom_site_type_symbol
_atom_site_fract_x
_atom_site_fract_y
_atom_site_fract_z
Y1 Y 0.000 0.000 0.000
Ta1 Ta 0.144 0.356 0.500
Re1 Re 0.147 0.647 0.000

=====

<two>
# YTa2Re2 PBE relaxed
# crystal system: tetragonal
data_YTa2Re2
_chemical_formula_sum 'Y2 Ta4 Re4'
_symmetry_space_group_name_H-M 'I 4/m m m'
_symmetry_Int_Tables_number 139
_symmetry_space_group_name_Hall '-I 4 2'
_cell_length_a 4.326
_cell_length_b 4.326
_cell_length_c 11.159
_cell_angle_alpha 90.00
_cell_angle_beta 90.00
_cell_angle_gamma 90.00
loop_
_atom_site_label
_atom_site_type_symbol
_atom_site_fract_x
_atom_site_fract_y
_atom_site_fract_z
Y1 Y 0.000 0.000 0.000
Ta1 Ta 0.000 0.500 0.250
Re1 Re 0.000 0.000 0.385

=====

Going by the energies, <two> is most stable and the next is 10.3 kJ/mol of atoms up.

=====

<one>
# Y2TaRe2 PBE relaxed
# crystal system: tetragonal
data_Y2TaRe2
_chemical_formula_sum 'Y4 Ta2 Re4'
_symmetry_space_group_name_H-M 'I 4/m m m'
_symmetry_Int_Tables_number 139
_symmetry_space_group_name_Hall '-I 4 2'
_cell_length_a 4.073
_cell_length_b 4.073
_cell_length_c 13.139
_cell_angle_alpha 90.00
_cell_angle_beta 90.00
_cell_angle_gamma 90.00
loop_
_atom_site_label
_atom_site_type_symbol
_atom_site_fract_x
_atom_site_fract_y
_atom_site_fract_z
Y1 Y 0.000 0.500 0.250
Ta1 Ta 0.000 0.000 0.000
Re1 Re 0.000 0.000 0.413

=====

<two>
# Y2TaRe2 PBE relaxed
# crystal system: tetragonal
data_Y2TaRe2
_chemical_formula_sum 'Y4 Ta2 Re4'
_symmetry_space_group_name_H-M 'P 4/m b m'
_symmetry_Int_Tables_number 127
_symmetry_space_group_name_Hall '-P 4 2ab'
_cell_length_a 6.758
_cell_length_b 6.758
_cell_length_c 4.801
_cell_angle_alpha 90.00
_cell_angle_beta 90.00
_cell_angle_gamma 90.00
loop_
_atom_site_label
_atom_site_type_symbol
_atom_site_fract_x
_atom_site_fract_y
_atom_site_fract_z
Y1 Y 0.176 0.324 0.000
Ta1 Ta 0.000 0.000 0.500
Re1 Re 0.128 0.628 0.500

=====

Going by the energies, <two> is most stable and the next is 88.6 kJ/mol of atoms up.

=====

<one>
# TaZnRe PBE relaxed
# crystal system: cubic
data_TaZnRe
_chemical_formula_sum 'Ta4 Zn4 Re4'
_symmetry_space_group_name_H-M 'F -4 3 m'
_symmetry_Int_Tables_number 216
_symmetry_space_group_name_Hall 'F -4 2 3'
_cell_length_a 6.138
_cell_length_b 6.138
_cell_length_c 6.138
_cell_angle_alpha 90.00
_cell_angle_beta 90.00
_cell_angle_gamma 90.00
loop_
_atom_site_label
_atom_site_type_symbol
_atom_site_fract_x
_atom_site_fract_y
_atom_site_fract_z
Ta1 Ta 0.000 0.000 0.000
Zn1 Zn 0.250 0.250 0.250
Re1 Re 0.250 0.250 0.750

=====

<two>
# TaZnRe PBE relaxed
# crystal system: trigonal
data_TaZnRe
_chemical_formula_sum 'Ta1 Zn1 Re1'
_symmetry_space_group_name_H-M 'P 3 m 1'
_symmetry_Int_Tables_number 156
_cell_length_a 4.4898
_cell_length_b 4.4898
_cell_length_c 2.7261
_cell_angle_alpha 90.00
_cell_angle_beta 90.00
_cell_angle_gamma 120.00
loop_
_symmetry_equiv_pos_as_xyz
'x,y,z'
'-y,x-y,z'
'-x+y,-x,z'
'-y,-x,z'
'-x+y,y,z'
'x,x-y,z'
loop_
_atom_site_label
_atom_site_type_symbol
_atom_site_fract_x
_atom_site_fract_y
_atom_site_fract_z
Ta1 Ta 0.0000 0.0000 0.0000
Zn1 Zn 0.3333 0.6667 0.3897
Re1 Re 0.6667 0.3333 0.6940

=====

<three>
# TaZnRe PBE relaxed
# crystal system: tetragonal
data_TaZnRe
_chemical_formula_sum 'Ta2 Zn2 Re2'
_symmetry_space_group_name_H-M 'I 4 m m'
_symmetry_Int_Tables_number 107
_symmetry_space_group_name_Hall 'I 4 -2'
_cell_length_a 3.339
_cell_length_b 3.339
_cell_length_c 8.540
_cell_angle_alpha 90.00
_cell_angle_beta 90.00
_cell_angle_gamma 90.00
loop_
_atom_site_label
_atom_site_type_symbol
_atom_site_fract_x
_atom_site_fract_y
_atom_site_fract_z
Ta1 Ta 0.000 0.000 0.000
Zn1 Zn 0.000 0.000 0.676
Re1 Re 0.000 0.000 0.344

=====

<four>
# TaZnRe PBE relaxed
# crystal system: tetragonal
data_TaZnRe
_chemical_formula_sum 'Ta2 Zn2 Re2'
_symmetry_space_group_name_H-M 'I 4 m m'
_symmetry_Int_Tables_number 107
_symmetry_space_group_name_Hall 'I 4 -2'
_cell_length_a 2.724
_cell_length_b 2.724
_cell_length_c 12.811
_cell_angle_alpha 90.00
_cell_angle_beta 90.00
_cell_angle_gamma 90.00
loop_
_atom_site_label
_atom_site_type_symbol
_atom_site_fract_x
_atom_site_fract_y
_atom_site_fract_z
Ta1 Ta 0.000 0.000 0.000
Zn1 Zn 0.000 0.000 0.332
Re1 Re 0.000 0.000 0.676

=====

Going by the energies, <three> is most stable and the next is 2.3 kJ/mol of atoms up.

=====

<one>
# TaZnRe PBE relaxed
# crystal system: orthorhombic
data_TaZnRe
_chemical_formula_sum 'Ta4 Zn4 Re4'
_symmetry_space_group_name_H-M 'F m m 2'
_symmetry_Int_Tables_number 42
_symmetry_space_group_name_Hall 'F 2 -2'
_cell_length_a 3.216
_cell_length_b 4.435
_cell_length_c 13.395
_cell_angle_alpha 90.00
_cell_angle_beta 90.00
_cell_angle_gamma 90.00
loop_
_atom_site_label
_atom_site_type_symbol
_atom_site_fract_x
_atom_site_fract_y
_atom_site_fract_z
Ta1 Ta 0.000 0.000 0.000
Zn1 Zn 0.000 0.000 0.670
Re1 Re 0.000 0.000 0.333

=====

<two>
# TaZnRe PBE relaxed
# crystal system: orthorhombic
data_TaZnRe
_chemical_formula_sum 'Ta2 Zn2 Re2'
_symmetry_space_group_name_H-M 'I m m 2'
_symmetry_Int_Tables_number 44
_cell_length_a 2.688
_cell_length_b 4.245
_cell_length_c 8.326
_cell_angle_alpha 90.00
_cell_angle_beta 90.00
_cell_angle_gamma 90.00
loop_
_symmetry_equiv_pos_as_xyz
'x,y,z'
'-x,-y,z'
'-x,y,z'
'x,-y,z'
'x+1/2,y+1/2,z+1/2'
'-x+1/2,-y+1/2,z+1/2'
'-x+1/2,y+1/2,z+1/2'
'x+1/2,-y+1/2,z+1/2'
loop_
_atom_site_label
_atom_site_type_symbol
_atom_site_fract_x
_atom_site_fract_y
_atom_site_fract_z
Ta1 Ta 0.000 0.000 0.000
Zn1 Zn 0.000 0.000 0.331
Re1 Re 0.000 0.000 0.670

=====

<three>
# TaZnRe PBE relaxed
# crystal system: cubic
data_TaZnRe
_chemical_formula_sum 'Ta4 Zn4 Re4'
_symmetry_space_group_name_H-M 'F -4 3 m'
_symmetry_Int_Tables_number 216
_symmetry_space_group_name_Hall 'F -4 2 3'
_cell_length_a 6.120
_cell_length_b 6.120
_cell_length_c 6.120
_cell_angle_alpha 90.00
_cell_angle_beta 90.00
_cell_angle_gamma 90.00
loop_
_atom_site_label
_atom_site_type_symbol
_atom_site_fract_x
_atom_site_fract_y
_atom_site_fract_z
Ta1 Ta 0.000 0.000 0.000
Zn1 Zn 0.000 0.000 0.500
Re1 Re 0.250 0.250 0.750

=====

Going by the energies, <two> is most stable and the next is 5.7 kJ/mol of atoms up.

=====

<one>
# TaZnRe3 PBE relaxed
# crystal system: cubic
data_TaZnRe3
_chemical_formula_sum 'Ta1 Zn1 Re3'
_symmetry_space_group_name_H-M 'P m -3 m'
_symmetry_Int_Tables_number 221
_symmetry_space_group_name_Hall '-P 4 2 3'
_cell_length_a 4.452
_cell_length_b 4.452
_cell_length_c 4.452
_cell_angle_alpha 90.00
_cell_angle_beta 90.00
_cell_angle_gamma 90.00
loop_
_atom_site_label
_atom_site_type_symbol
_atom_site_fract_x
_atom_site_fract_y
_atom_site_fract_z
Ta1 Ta 0.000 0.000 0.000
Zn1 Zn 0.500 0.500 0.500
Re1 Re 0.000 0.500 0.500

=====

<two>
# TaZnRe3 PBE relaxed
# crystal system: cubic
data_TaZnRe3
_chemical_formula_sum 'Ta1 Zn1 Re3'
_symmetry_space_group_name_H-M 'P m -3 m'
_symmetry_Int_Tables_number 221
_symmetry_space_group_name_Hall '-P 4 2 3'
_cell_length_a 4.784
_cell_length_b 4.784
_cell_length_c 4.784
_cell_angle_alpha 90.00
_cell_angle_beta 90.00
_cell_angle_gamma 90.00
loop_
_atom_site_label
_atom_site_type_symbol
_atom_site_fract_x
_atom_site_fract_y
_atom_site_fract_z
Ta1 Ta 0.000 0.000 0.000
Zn1 Zn 0.500 0.500 0.500
Re1 Re 0.000 0.000 0.500

=====

Going by the energies, <one> is most stable and the next is 63.2 kJ/mol of atoms up.

=====

<one>
# ZrTaRe PBE relaxed
# crystal system: cubic
data_ZrTaRe
_chemical_formula_sum 'Zr4 Ta4 Re4'
_symmetry_space_group_name_H-M 'F -4 3 m'
_symmetry_Int_Tables_number 216
_symmetry_space_group_name_Hall 'F -4 2 3'
_cell_length_a 6.347
_cell_length_b 6.347
_cell_length_c 6.347
_cell_angle_alpha 90.00
_cell_angle_beta 90.00
_cell_angle_gamma 90.00
loop_
_atom_site_label
_atom_site_type_symbol
_atom_site_fract_x
_atom_site_fract_y
_atom_site_fract_z
Zr1 Zr 0.000 0.000 0.000
Ta1 Ta 0.000 0.000 0.500
Re1 Re 0.250 0.250 0.750

=====

<two>
# ZrTaRe PBE relaxed
# crystal system: orthorhombic
data_ZrTaRe
_chemical_formula_sum 'Zr4 Ta4 Re4'
_symmetry_space_group_name_H-M 'I m m a'
_symmetry_Int_Tables_number 74
_symmetry_space_group_name_Hall '-I 2b 2'
_cell_length_a 5.362
_cell_length_b 5.574
_cell_length_c 7.612
_cell_angle_alpha 90.00
_cell_angle_beta 90.00
_cell_angle_gamma 90.00
loop_
_atom_site_label
_atom_site_type_symbol
_atom_site_fract_x
_atom_site_fract_y
_atom_site_fract_z
Zr1 Zr 0.000 0.250 0.122
Ta1 Ta 0.000 0.000 0.500
Re1 Re 0.250 0.250 0.750

=====

<three>
# ZrTaRe PBE relaxed
# crystal system: orthorhombic
data_ZrTaRe
_chemical_formula_sum 'Zr4 Ta4 Re4'
_symmetry_space_group_name_H-M 'F m m 2'
_symmetry_Int_Tables_number 42
_symmetry_space_group_name_Hall 'F 2 -2'
_cell_length_a 3.270
_cell_length_b 4.836
_cell_length_c 13.836
_cell_angle_alpha 90.00
_cell_angle_beta 90.00
_cell_angle_gamma 90.00
loop_
_atom_site_label
_atom_site_type_symbol
_atom_site_fract_x
_atom_site_fract_y
_atom_site_fract_z
Zr1 Zr 0.000 0.000 0.000
Ta1 Ta 0.000 0.000 0.685
Re1 Re 0.000 0.000 0.336

=====

Going by the energies, <two> is most stable and the next is 28.2 kJ/mol of atoms up.